No. 1
{"formula": "MnInAu3", "functional": "PBE", "state": "optimized geometry", "lattice_angstrom": [[5.021, 0.000, 0.000], [0.000, 5.021, 0.000], [0.000, 0.000, 5.021]], "species": ["Mn", "In", "Au", "Au", "Au"], "frac_coords": [[0.000, 0.000, 0.000], [0.500, 0.500, 0.500], [0.000, 0.000, 0.500], [0.000, 0.500, 0.000], [0.500, 0.000, 0.000]], "total_magnetization_mub_per_cell": 4.4, "crystal_system": "cubic"}

No. 2
{"formula": "MnIn2Au6", "functional": "PBE", "state": "optimized geometry", "lattice_angstrom": [[8.958, 0.000, 0.000], [0.000, 8.958, 0.000], [0.000, 0.000, 4.166]], "species": ["Mn", "Mn", "In", "In", "In", "In", "Au", "Au", "Au", "Au", "Au", "Au", "Au", "Au", "Au", "Au", "Au", "Au"], "frac_coords": [[0.000, 0.000, 0.000], [0.500, 0.500, 0.500], [0.179, 0.179, 0.500], [0.321, 0.679, 0.000], [0.679, 0.321, 0.000], [0.821, 0.821, 0.500], [0.005, 0.329, 0.000], [0.148, 0.852, 0.500], [0.171, 0.505, 0.500], [0.329, 0.005, 0.000], [0.352, 0.352, 0.000], [0.495, 0.829, 0.500], [0.505, 0.171, 0.500], [0.648, 0.648, 0.000], [0.671, 0.995, 0.000], [0.829, 0.495, 0.500], [0.852, 0.148, 0.500], [0.995, 0.671, 0.000]], "total_magnetization_mub_per_cell": 8.2, "crystal_system": "tetragonal"}

Per-record calculated formation energy, eV/atom: 0.43 -0.09
Per-record Fermi-level density of states, states/eV/f.u.: 1.6 2.2
Per-record raw total energy, eV/atom: -3.92 -3.90